An optimized crystal structure of ScUFe3, computed with GGA-PBE.

It has space group Cm (No. 8), with a = 10.3789 Å, b = 5.7118 Å, c = 6.3675 Å, α = 90.00°, β = 121.86° and γ = 90.00°. The asymmetric unit holds Sc at (0.0000, 0.0000, 0.0000), Sc at (0.0967, 0.0000, 0.5881), U at (0.3918, 0.0000, 0.1755), U at (0.4834, 0.0000, 0.7043), Fe at (0.1094, 0.5000, 0.2183), Fe at (0.1796, 0.5000, 0.6521), Fe at (0.2496, 0.2967, 0.0561) and Fe at (0.3207, 0.2716, 0.5033).

The value obtained for the calculated volume is 321 Å³/cell. The density of states at the Fermi level comes out at 1.092 states/eV/atom. As for the total magnetization: 2.10 μB per cell. The value obtained for the calculated formation energy is -0.16 eV/f.u.